Entry 1:
Below is HgPb6 after structural relaxation, with properties calculated at the PBE level.

* VASP energy: -3.167 eV per atom
* total magnetic moment: 0.00 μB/atom
* space group: P4/mmm, No. 123

Lattice parameters (Å, degrees): 4.845 4.845 9.683 90.00 90.00 90.00
Fractional positions:
Hg 0.000 0.000 0.000
Pb 0.000 0.000 0.500
Pb 0.500 0.500 0.000
Pb 0.500 0.000 0.738
Pb 0.000 0.500 0.262
Pb 0.500 0.000 0.262
Pb 0.000 0.500 0.738


Entry 2:
Below is CuRe2Mo after structural relaxation, with properties calculated at the PBE level.

* VASP energy: -9.708 eV per atom
* total magnetic moment: 0.00 μB/atom
* space group: Cmmm, No. 65

Lattice parameters (Å, degrees): 2.669 2.669 8.764 90.00 90.00 108.93
Fractional positions:
Cu 0.500 0.500 0.250
Mo 0.500 0.500 0.750
Re 0.000 0.000 0.003
Re 0.000 0.000 0.497


Entry 3:
Below is KCo2Pb after structural relaxation, with properties calculated at the PBE level.

* VASP energy: -3.993 eV per atom
* total magnetic moment: 0.71 μB/atom
* space group: I4_1/amd, No. 141

Lattice parameters (Å, degrees): 4.840 4.840 9.794 75.70 75.70 90.00
Last column: magnetic moment on the atom in μB.
Fractional positions:
Pb 0.000 0.000 0.000  -0.05
Pb 0.750 0.250 0.500  -0.06
K 0.500 0.500 0.000  -0.01
K 0.250 0.750 0.500  -0.01
Co 0.875 0.125 0.250  1.68
Co 0.875 0.625 0.250  1.67
Co 0.375 0.125 0.750  1.41
Co 0.875 0.125 0.750  1.33


V, record by record: 32.5 14.8 26.9 A^3/atom
Fermi-level density of states, record by record: 2.546 3.231 5.636 states/eV/f.u.
E above lowest polymorph, record by record: 21 73 408 meV/atom